Entry 1:
{
  "formula": "MgCo2Re",
  "functional": "PBE-GGA",
  "state": "relaxed",
  "magmom_total_mub_per_fu": 0.00,
  "e_form_mev_per_atom": 191,
  "lattice": [[-1.3324, 2.1513, 4.6138], [1.3324, -2.1513, 4.6138], [1.3324, 2.1513, -4.6138]],
  "species": ["Mg", "Co", "Co", "Re"],
  "fractional_positions": [[0.0000, 0.0000, 0.0000], [0.2726, 0.7726, 0.5000], [0.4923, 0.4923, 0.0000], [0.7145, 0.2145, 0.5000]]
}

---

Entry 2:
{
  "formula": "MgCoRe2",
  "functional": "PBE-GGA",
  "state": "relaxed",
  "magmom_total_mub_per_fu": 0.91,
  "e_form_mev_per_atom": 263,
  "lattice": [[3.1060, 0.0000, 0.0000], [0.0000, 4.1832, 0.0000], [0.0000, 0.0000, 4.4108]],
  "species": ["Mg", "Co", "Re", "Re"],
  "fractional_positions": [[0.0000, 0.0000, 0.0000], [0.5000, 0.5000, 0.0000], [0.0000, 0.5000, 0.5000], [0.5000, 0.0000, 0.5000]]
}